No. 1
Below is SrLa3MnO8 after structural relaxation, with properties calculated at the PBE with a Hubbard U level.

Results
**Total energy**: -7.5758 eV/atom

Cell: 6.9247 6.9247 10.9485 Å, 90.00 90.00 134.85°
Site moments in Bohr magnetons follow the coordinates.
Sites, in units of the cell vectors:
O (0.2435, 0.2478, 0.6276)  -0.14
O (0.6913, 0.3087, 0.4772)  -0.16
O (0.1578, 0.8422, 0.7500)  -0.07
O (0.6913, 0.3087, 0.0228)  -0.16
O (0.7522, 0.7565, 0.8724)  -0.14
O (0.2478, 0.2435, 0.3724)  -0.14
O (0.3087, 0.6913, 0.5228)  -0.16
O (0.2435, 0.2478, 0.8724)  -0.14
O (0.7522, 0.7565, 0.6276)  -0.14
O (0.8422, 0.1578, 0.2500)  -0.07
O (0.7565, 0.7522, 0.1276)  -0.14
O (0.1595, 0.8405, 0.2500)  -0.07
O (0.7565, 0.7522, 0.3724)  -0.14
O (0.2478, 0.2435, 0.1276)  -0.14
O (0.8405, 0.1595, 0.7500)  -0.07
O (0.3087, 0.6913, 0.9772)  -0.16
La (0.1334, 0.8666, 0.9984)  0.00
La (0.3637, 0.6363, 0.7500)  0.01
La (0.8666, 0.1334, 0.4984)  0.00
La (0.6363, 0.3637, 0.2500)  0.01
La (0.8666, 0.1334, 0.0016)  0.00
La (0.1334, 0.8666, 0.5016)  0.00
Mn (0.0000, 0.0000, 0.2500)  3.03
Mn (0.0000, 0.0000, 0.7500)  3.03
Sr (0.6372, 0.3628, 0.7500)  0.00
Sr (0.3628, 0.6372, 0.2500)  0.00


No. 2
Below is CsLaMnF6 after structural relaxation, with properties calculated at the PBE with a Hubbard U level.

Results
**Total energy**: -6.0619 eV/atom

Cell: 8.1716 7.7109 7.7991 Å, 119.63 121.59 90.00°
Site moments in Bohr magnetons follow the coordinates.
Sites, in units of the cell vectors:
F (0.1382, 0.8882, 0.2764)  0.00
F (0.8618, 0.1118, 0.7236)  0.00
F (0.5565, 0.8536, 0.7313)  0.02
F (0.4435, 0.1464, 0.2687)  0.02
F (0.5903, 0.8403, 0.1807)  0.04
F (0.8252, 0.6223, 0.2687)  0.02
F (0.5565, 0.3777, 0.7313)  0.02
F (0.4435, 0.6223, 0.2687)  0.02
F (0.1748, 0.3777, 0.7313)  0.02
F (0.1748, 0.8536, 0.7313)  0.02
F (0.4097, 0.1597, 0.8193)  0.04
F (0.8252, 0.1464, 0.2687)  0.02
La (0.0000, 0.0000, 0.5000)  0.01
La (0.5000, 0.0000, 0.5000)  0.01
Cs (0.1570, 0.4070, 0.3140)  0.00
Cs (0.8430, 0.5930, 0.6860)  0.00
Mn (0.5000, 0.0000, 0.0000)  4.68
Mn (0.5000, 0.5000, 0.0000)  4.68


Repeat the first record exactly.
Below is SrLa3MnO8 after structural relaxation, with properties calculated at the PBE with a Hubbard U level.

Results
**Total energy**: -7.5758 eV/atom

Cell: 6.9247 6.9247 10.9485 Å, 90.00 90.00 134.85°
Site moments in Bohr magnetons follow the coordinates.
Sites, in units of the cell vectors:
O (0.2435, 0.2478, 0.6276)  -0.14
O (0.6913, 0.3087, 0.4772)  -0.16
O (0.1578, 0.8422, 0.7500)  -0.07
O (0.6913, 0.3087, 0.0228)  -0.16
O (0.7522, 0.7565, 0.8724)  -0.14
O (0.2478, 0.2435, 0.3724)  -0.14
O (0.3087, 0.6913, 0.5228)  -0.16
O (0.2435, 0.2478, 0.8724)  -0.14
O (0.7522, 0.7565, 0.6276)  -0.14
O (0.8422, 0.1578, 0.2500)  -0.07
O (0.7565, 0.7522, 0.1276)  -0.14
O (0.1595, 0.8405, 0.2500)  -0.07
O (0.7565, 0.7522, 0.3724)  -0.14
O (0.2478, 0.2435, 0.1276)  -0.14
O (0.8405, 0.1595, 0.7500)  -0.07
O (0.3087, 0.6913, 0.9772)  -0.16
La (0.1334, 0.8666, 0.9984)  0.00
La (0.3637, 0.6363, 0.7500)  0.01
La (0.8666, 0.1334, 0.4984)  0.00
La (0.6363, 0.3637, 0.2500)  0.01
La (0.8666, 0.1334, 0.0016)  0.00
La (0.1334, 0.8666, 0.5016)  0.00
Mn (0.0000, 0.0000, 0.2500)  3.03
Mn (0.0000, 0.0000, 0.7500)  3.03
Sr (0.6372, 0.3628, 0.7500)  0.00
Sr (0.3628, 0.6372, 0.2500)  0.00


Repeat the second record exactly.
Below is CsLaMnF6 after structural relaxation, with properties calculated at the PBE with a Hubbard U level.

Results
**Total energy**: -6.0619 eV/atom

Cell: 8.1716 7.7109 7.7991 Å, 119.63 121.59 90.00°
Site moments in Bohr magnetons follow the coordinates.
Sites, in units of the cell vectors:
F (0.1382, 0.8882, 0.2764)  0.00
F (0.8618, 0.1118, 0.7236)  0.00
F (0.5565, 0.8536, 0.7313)  0.02
F (0.4435, 0.1464, 0.2687)  0.02
F (0.5903, 0.8403, 0.1807)  0.04
F (0.8252, 0.6223, 0.2687)  0.02
F (0.5565, 0.3777, 0.7313)  0.02
F (0.4435, 0.6223, 0.2687)  0.02
F (0.1748, 0.3777, 0.7313)  0.02
F (0.1748, 0.8536, 0.7313)  0.02
F (0.4097, 0.1597, 0.8193)  0.04
F (0.8252, 0.1464, 0.2687)  0.02
La (0.0000, 0.0000, 0.5000)  0.01
La (0.5000, 0.0000, 0.5000)  0.01
Cs (0.1570, 0.4070, 0.3140)  0.00
Cs (0.8430, 0.5930, 0.6860)  0.00
Mn (0.5000, 0.0000, 0.0000)  4.68
Mn (0.5000, 0.5000, 0.0000)  4.68